{"formula": "CeYNiPt", "functional": "GGA-PBE", "state": "optimized geometry", "total_energy_ev_per_atom": -6.84, "relative_energy_mev_per_atom": 0, "sg": "Amm2 (38)", "lattice": [[4.361, 0.000, 0.000], [0.000, 1.866, 5.342], [0.000, -1.866, 5.342]], "species": ["Ce", "Y", "Ni", "Pt"], "frac_coords": [[0.000, 0.000, 0.000], [0.500, 0.276, 0.276], [0.500, 0.546, 0.546], [0.000, 0.717, 0.717]]}

{"formula": "K2RbBeI", "functional": "GGA-PBE", "state": "optimized geometry", "total_energy_ev_per_atom": -1.25, "sg": "P4/mmm (123)", "raw_formation_energy_ev_per_atom": 0.434, "lattice": [[7.829, 0.000, 0.000], [0.000, 7.829, 0.000], [0.000, 0.000, 6.619]], "species": ["K", "K", "Rb", "Be", "I"], "frac_coords": [[0.000, 0.500, 0.000], [0.500, 0.000, 0.000], [0.000, 0.000, 0.000], [0.500, 0.500, 0.500], [0.000, 0.000, 0.500]]}

{"formula": "MnZnCrMo", "functional": "GGA-PBE", "state": "optimized geometry", "total_energy_ev_per_atom": -7.60, "sg": "F-43m (216)", "lattice": [[0.000, 2.990, 2.990], [2.990, 0.000, 2.990], [2.990, 2.990, 0.000]], "species": ["Mn", "Zn", "Cr", "Mo"], "frac_coords": [[0.000, 0.000, 0.000], [0.750, 0.750, 0.750], [0.500, 0.500, 0.500], [0.250, 0.250, 0.250]]}

{"formula": "Na2CeScO4", "functional": "GGA-PBE", "state": "optimized geometry", "total_energy_ev_per_atom": -7.00, "sg": "P2/m (10)", "raw_formation_energy_ev_per_atom": -2.660, "lattice": [[5.877, 0.000, 0.000], [0.000, 3.385, 0.000], [-1.943, 0.000, 5.571]], "species": ["Na", "Na", "Ce", "Sc", "O", "O", "O", "O"], "frac_coords": [[0.000, 0.000, 0.000], [0.500, 0.500, 0.000], [0.000, 0.500, 0.500], [0.500, 0.000, 0.500], [0.261, 0.000, 0.714], [0.281, 0.500, 0.294], [0.719, 0.500, 0.706], [0.739, 0.000, 0.286]]}

{"formula": "Sc5TcRh4", "functional": "GGA-PBE", "state": "optimized geometry", "total_energy_ev_per_atom": -7.98, "sg": "P4/mmm (123)", "lattice": [[3.223, 0.000, 0.000], [0.000, 3.223, 0.000], [0.000, 0.000, 16.246]], "species": ["Sc", "Sc", "Sc", "Sc", "Sc", "Tc", "Rh", "Rh", "Rh", "Rh"], "frac_coords": [[0.000, 0.000, 0.000], [0.000, 0.000, 0.201], [0.000, 0.000, 0.402], [0.000, 0.000, 0.598], [0.000, 0.000, 0.799], [0.500, 0.500, 0.500], [0.500, 0.500, 0.099], [0.500, 0.500, 0.296], [0.500, 0.500, 0.704], [0.500, 0.500, 0.901]]}

{"formula": "KGaSi", "functional": "GGA-PBE", "state": "optimized geometry", "total_energy_ev_per_atom": -3.03, "sg": "Cmme (67)", "raw_formation_energy_ev_per_atom": 0.153, "lattice": [[3.509, -5.886, 0.000], [3.509, 5.886, 0.000], [0.000, 0.000, 4.248]], "species": ["K", "K", "Ga", "Ga", "Si", "Si"], "frac_coords": [[0.250, 0.250, 0.000], [0.750, 0.750, 0.000], [0.000, 0.500, 0.500], [0.500, 0.000, 0.500], [0.250, 0.750, 0.889], [0.750, 0.250, 0.111]]}

Question: What is the formula in the fifth record?
Answer: Sc5TcRh4